Record 1
# Sc2SbRh

A geometry-optimized Sc2SbRh structure (PBE-GGA, Alexandria via LeMat-Bulk).

Cell lengths 7.5056, 7.5056, 6.1312 Å; angles 52.26, 52.26, 90.00 degrees
Fractional positions:
Sc1 0.5792 0.1250 0.2500
Sc2 0.1708 0.6250 0.2500
Sc3 0.3750 0.4208 0.7500
Sc4 0.8750 0.8292 0.7500
Sb1 0.0000 0.0000 0.0000
Sb2 0.7500 0.2500 0.5000
Rh1 0.5000 0.5000 0.0000
Rh2 0.2500 0.7500 0.5000

Results
Symmetry: I-42d

=====

Record 2
# Sc4SbRh

A geometry-optimized Sc4SbRh structure (PBE-GGA, Alexandria via LeMat-Bulk).

Cell lengths 5.2023, 6.1394, 8.8830 Å; angles 90.00, 115.74, 90.00 degrees
Fractional positions:
Sc1 0.5898 0.2500 0.4465
Sc2 0.4102 0.7500 0.5535
Sc3 0.6357 0.2500 0.8517
Sc4 0.3643 0.7500 0.1483
Sc5 0.9283 0.0110 0.2447
Sc6 0.0717 0.5110 0.7553
Sc7 0.9283 0.4890 0.2447
Sc8 0.0717 0.9890 0.7553
Sb1 0.3023 0.2500 0.0779
Sb2 0.6977 0.7500 0.9221
Rh1 0.1777 0.2500 0.5404
Rh2 0.8223 0.7500 0.4596

Results
Symmetry: P2_1/m
ΔE to the lowest computed polymorph (meV per atom): 0

=====

Record 3
# Sc2SbRh

A geometry-optimized Sc2SbRh structure (PBE-GGA, Alexandria via LeMat-Bulk).

Cell lengths 5.5704, 5.5704, 5.5704 Å; angles 137.47, 137.47, 61.72 degrees
Fractional positions:
Rh1 0.5000 0.5000 0.0000
Sb1 0.7500 0.2500 0.5000
Sc1 0.0000 0.0000 0.0000
Sc2 0.2500 0.7500 0.5000

Results
Symmetry: I-4m2

=====

Record 4
# Sc2SbRh

A geometry-optimized Sc2SbRh structure (PBE-GGA, Alexandria via LeMat-Bulk).

Cell lengths 3.8497, 3.9139, 5.8481 Å; angles 90.00, 90.00, 90.00 degrees
Fractional positions:
Rh1 0.0000 0.0000 0.4072
Sb1 0.5000 0.5000 0.8037
Sc1 0.0000 0.0000 0.9787
Sc2 0.5000 0.5000 0.3103

Results
Symmetry: Pmm2

=====

| no. | formation energy without anion corrections (eV/atom) |
| --- | --- |
| 1 | -0.5245 |
| 2 | -0.6756 |
| 3 | -0.7461 |
| 4 | -0.6383 |